Ca2ZrRh: relaxed, GGA-PBE.

Computed properties:
Offset from the most stable computed form = 0.113 eV per atom
Symmetry = Immm, No. 71

a b c (Å): 8.8785 8.8785 8.8785
angles (deg): 157.81 153.28 34.99
Element x y z (fractional)
Ca 0.1588 0.1588 0.0000
Ca 0.8412 0.8412 0.0000
Zr 0.5000 0.0000 0.5000
Rh 0.0000 0.5000 0.5000

=====

TaInFeRh: relaxed, GGA-PBE.

Computed properties:
Symmetry = F-43m, No. 216

a b c (Å): 4.4558 4.4558 4.4558
angles (deg): 60.00 60.00 60.00
Element x y z (fractional)
Ta 0.0000 0.0000 0.0000
In 0.5000 0.5000 0.5000
Fe 0.2500 0.2500 0.2500
Rh 0.7500 0.7500 0.7500

=====

Be2HgOsPb: relaxed, GGA-PBE.

Computed properties:
Symmetry = P4/mmm, No. 123

a b c (Å): 4.4183 4.4183 5.2327
angles (deg): 90.00 90.00 90.00
Element x y z (fractional)
Be 0.0000 0.5000 0.0000
Be 0.5000 0.0000 0.0000
Hg 0.0000 0.0000 0.5000
Os 0.0000 0.0000 0.0000
Pb 0.5000 0.5000 0.5000

=====

CaTl2Pd: relaxed, GGA-PBE.

Computed properties:
Symmetry = R-3m, No. 166

a b c (Å): 10.3100 10.3100 10.3100
angles (deg): 20.72 20.72 20.72
Element x y z (fractional)
Ca 0.0000 0.0000 0.0000
Tl 0.1053 0.1053 0.1053
Tl 0.8947 0.8947 0.8947
Pd 0.5000 0.5000 0.5000

=====

no.,N(E_F) (states/eV per atom),formation energy from the elements (eV per atom)
1,1.033,-0.15
2,0.533,-0.19
3,0.441,0.69
4,0.789,0.03